# TiCoPd2Pt

A relaxed TiCoPd2Pt crystal (PBE, the Alexandria database).

a = 4.5788 Å, b = 4.1203 Å, c = 4.5788 Å
α = 90.00°, β = 90.00°, γ = 90.00°
Last column: magnetic moment on the atom in μB.
Fractional coordinates of all 5 atoms:
Co1 0.0000 0.5000 0.0000  0.27
Pd1 0.0000 0.0000 0.5000  -0.01
Pd2 0.5000 0.0000 0.0000  0.00
Pt1 0.5000 0.5000 0.5000  0.02
Ti1 0.0000 0.0000 0.0000  -0.06

Results
Total DFT energy (no corrections) ... -5.55 eV/atom
Crystal system ... tetragonal
Total moment ... 0.21 μB/f.u.
Energy of formation from the pure elements ... 354 kJ/mol of formula units


# NdSmY2Se6

A relaxed NdSmY2Se6 crystal (PBE, the Alexandria database).

a = 7.3289 Å, b = 7.3290 Å, c = 7.7805 Å
α = 61.90°, β = 61.90°, γ = 60.00°
Fractional coordinates of all 10 atoms:
Nd1 0.8133 0.8133 0.5600
Sm1 0.3153 0.3153 0.0540
Y1 0.5144 0.5144 0.4568
Y2 0.0131 0.0132 0.9607
Se1 0.6199 0.2269 0.2472
Se2 0.2268 0.9061 0.2472
Se3 0.9061 0.6199 0.2472
Se4 0.3999 0.7266 0.7473
Se5 0.7267 0.1260 0.7474
Se6 0.1260 0.4000 0.7474

Results
Total DFT energy (no corrections) ... -6.18 eV/atom
Crystal system ... trigonal
Total moment ... 0.00 μB/f.u.


# Li3IN

A relaxed Li3IN crystal (PBE, the Alexandria database).

a = 4.2213 Å, b = 4.2213 Å, c = 4.2213 Å
α = 90.00°, β = 90.00°, γ = 90.00°
Last column: magnetic moment on the atom in μB.
Fractional coordinates of all 5 atoms:
I1 0.5000 0.5000 0.5000  0.10
Li1 0.0000 0.5000 0.0000  0.00
Li2 0.0000 0.0000 0.5000  -0.01
Li3 0.5000 0.0000 0.0000  0.01
N1 0.0000 0.0000 0.0000  0.56

Results
Total DFT energy (no corrections) ... -3.56 eV/atom
Crystal system ... cubic
Offset from the most stable computed form ... 0.000 eV/atom
Total moment ... 1.00 μB/f.u.


# La3Nd5Se8

A relaxed La3Nd5Se8 crystal (PBE, the Alexandria database).

a = 8.5289 Å, b = 8.5289 Å, c = 8.5214 Å
α = 59.97°, β = 59.97°, γ = 60.00°
Fractional coordinates of all 16 atoms:
La1 0.5000 0.0000 0.5000
La2 0.0000 0.0000 0.5000
La3 0.0000 0.5000 0.5000
Nd1 0.5000 0.0000 0.0000
Nd2 0.5000 0.5000 0.0000
Nd3 0.0000 0.0000 0.0000
Nd4 0.0000 0.5000 0.0000
Nd5 0.5000 0.5000 0.5000
Se1 0.2500 0.2500 0.7529
Se2 0.2500 0.7471 0.7529
Se3 0.7471 0.2500 0.7529
Se4 0.7484 0.7484 0.7548
Se5 0.7500 0.7500 0.2471
Se6 0.7500 0.2529 0.2471
Se7 0.2529 0.7500 0.2471
Se8 0.2516 0.2516 0.2452

Results
Total DFT energy (no corrections) ... -6.06 eV/atom
Crystal system ... trigonal
Total moment ... 0.00 μB/f.u.


# Ca3BeP2Pt9

A relaxed Ca3BeP2Pt9 crystal (PBE, the Alexandria database).

a = 5.7468 Å, b = 5.7468 Å, c = 9.9911 Å
α = 90.00°, β = 90.00°, γ = 120.00°
Fractional coordinates of all 15 atoms:
Ca1 0.3333 0.6667 0.5836
Ca2 0.0000 0.0000 0.0000
Ca3 0.6667 0.3333 0.4164
Be1 0.0000 0.0000 0.5000
P1 0.3333 0.6667 0.1667
P2 0.6667 0.3333 0.8333
Pt1 0.8430 0.1570 0.6841
Pt2 0.8430 0.6861 0.6841
Pt3 0.3139 0.1570 0.6841
Pt4 0.6861 0.8430 0.3159
Pt5 0.1570 0.3139 0.3159
Pt6 0.1570 0.8430 0.3159
Pt7 0.5000 0.0000 0.0000
Pt8 0.0000 0.5000 0.0000
Pt9 0.5000 0.5000 0.0000

Results
Total DFT energy (no corrections) ... -5.69 eV/atom
Crystal system ... trigonal
Total moment ... 0.00 μB/f.u.
Energy of formation from the pure elements ... -1007 kJ/mol of formula units


# Dy2Ho2Al3

A relaxed Dy2Ho2Al3 crystal (PBE, the Alexandria database).

a = 3.5389 Å, b = 3.5405 Å, c = 14.1933 Å
α = 90.00°, β = 82.84°, γ = 90.00°
Fractional coordinates of all 7 atoms:
Dy1 0.5650 0.5000 0.8701
Dy2 0.4350 0.5000 0.1299
Ho1 0.6943 0.5000 0.6113
Ho2 0.3057 0.5000 0.3887
Al1 0.8690 0.0000 0.2620
Al2 0.0000 0.0000 0.0000
Al3 0.1310 0.0000 0.7380

Results
Total DFT energy (no corrections) ... -4.50 eV/atom
Crystal system ... orthorhombic
Offset from the most stable computed form ... 0.007 eV/atom
Total moment ... 0.00 μB/f.u.
Energy of formation from the pure elements ... -187 kJ/mol of formula units


# CsZrSe2

A relaxed CsZrSe2 crystal (PBE, the Alexandria database).

a = 3.9501 Å, b = 3.9501 Å, c = 8.8438 Å
α = 77.10°, β = 77.10°, γ = 60.00°
Fractional coordinates of all 4 atoms:
Cs1 0.4978 0.4978 0.5066
Zr1 0.6676 0.6676 0.9971
Se1 0.0624 0.0624 0.8129
Se2 0.2722 0.2722 0.1834

Results
Total DFT energy (no corrections) ... -5.37 eV/atom
Crystal system ... trigonal
Total moment ... 0.00 μB/f.u.


# Sr2Ac15Pr2

A relaxed Sr2Ac15Pr2 crystal (PBE, the Alexandria database).

a = 9.7687 Å, b = 9.7687 Å, c = 9.7687 Å
α = 81.73°, β = 81.73°, γ = 81.73°
Fractional coordinates of all 19 atoms:
Sr1 0.6668 0.6668 0.6668
Sr2 0.3332 0.3332 0.3332
Ac1 0.5000 0.0000 0.0000
Ac2 0.0000 0.0000 0.5000
Ac3 0.0000 0.5000 0.0000
Ac4 0.0000 0.2943 0.7057
Ac5 0.2943 0.7057 0.0000
Ac6 0.7057 0.0000 0.2943
Ac7 0.7057 0.2943 0.0000
Ac8 0.2943 0.0000 0.7057
Ac9 0.0000 0.7057 0.2943
Ac10 0.8536 0.3560 0.3560
Ac11 0.3560 0.3560 0.8536
Ac12 0.3560 0.8536 0.3560
Ac13 0.1464 0.6440 0.6440
Ac14 0.6440 0.6440 0.1464
Ac15 0.6440 0.1464 0.6440
Pr1 0.9092 0.9092 0.9092
Pr2 0.0908 0.0908 0.0908

Results
Total DFT energy (no corrections) ... -3.70 eV/atom
Crystal system ... trigonal
Total moment ... 0.00 μB/f.u.
Energy of formation from the pure elements ... 415 kJ/mol of formula units